No. 1
Here is a geometry-optimized MgZnCd3 structure from Alexandria via LeMat-Bulk. Energies are from GGA-PBEsol.

Lattice parameters (Å, degrees): 4.9882 4.9882 4.9882 90.00 90.00 90.00
Closest atoms and distances in Å follow each position.
Positions (direct):
Zn 0.0000 0.0000 0.0000  6 Cd 2.49
Mg 0.5000 0.5000 0.5000  12 Cd 3.53
Cd 0.0000 0.5000 0.0000  2 Zn 2.49
Cd 0.0000 0.0000 0.5000  2 Zn 2.49
Cd 0.5000 0.0000 0.0000  2 Zn 2.49

Results
Fermi-level density of states	1.71	states/eV per cell
symmetry	Pm-3m

No. 2
Here is a geometry-optimized Mg2ZnCd structure from Alexandria via LeMat-Bulk. Energies are from GGA-PBEsol.

Lattice parameters (Å, degrees): 4.4123 5.0140 4.4123 63.90 90.00 116.10
Closest atoms and distances in Å follow each position.
Positions (direct):
Zn 0.0000 0.0000 0.0000  8 Mg 2.95, 4 Cd 3.12
Mg 0.2500 0.5000 0.2500  4 Zn 2.95, 4 Cd 2.95, 4 Mg 3.12
Mg 0.7500 0.5000 0.7500  4 Cd 2.95, 4 Zn 2.95, 4 Mg 3.12
Cd 0.5000 0.0000 0.5000  8 Mg 2.95, 4 Zn 3.12

Results
Fermi-level density of states	1.35	states/eV per cell
symmetry	I4/mmm

No. 3
Here is a geometry-optimized Mg2ZnCd structure from Alexandria via LeMat-Bulk. Energies are from GGA-PBEsol.

Lattice parameters (Å, degrees): 3.3359 3.3359 6.8058 90.00 90.00 90.00
Closest atoms and distances in Å follow each position.
Positions (direct):
Zn 0.5000 0.5000 0.0000  8 Mg 2.84
Mg 0.0000 0.0000 0.7684  4 Zn 2.84, 4 Cd 2.98, 1 Mg 3.15
Mg 0.0000 0.0000 0.2316  4 Zn 2.84, 4 Cd 2.98, 1 Mg 3.15
Cd 0.5000 0.5000 0.5000  8 Mg 2.98, 4 Cd 3.34

Results
Fermi-level density of states	1.40	states/eV per cell
symmetry	P4/mmm

No. 4
Here is a geometry-optimized MgZn3Cd structure from Alexandria via LeMat-Bulk. Energies are from GGA-PBEsol.

Lattice parameters (Å, degrees): 4.9723 4.9723 4.9723 90.00 90.00 90.00
Closest atoms and distances in Å follow each position.
Positions (direct):
Zn 0.0000 0.5000 0.0000  2 Mg 2.49
Zn 0.0000 0.0000 0.5000  2 Mg 2.49
Zn 0.5000 0.0000 0.0000  2 Mg 2.49
Mg 0.0000 0.0000 0.0000  6 Zn 2.49
Cd 0.5000 0.5000 0.5000  12 Zn 3.52

Results
Fermi-level density of states	2.15	states/eV per cell
symmetry	Pm-3m

| no. | ΔE_f (meV/atom) |
| --- | --- |
| 1 | 293.6 |
| 2 | -70.6 |
| 3 | -83.6 |
| 4 | 674.2 |